First-principles (PBE) data for a geometry-optimized PrTaGa structure, as listed in OQMD via LeMat-Bulk.

abc: 4.7121 4.7121 4.7121
angles: 60.00 60.00 60.00
Fractional positions:
Ga 0.0000 0.0000 0.0000
Ta 0.7500 0.7500 0.7500
Pr 0.2500 0.2500 0.2500

Computed properties:
Excess energy over the best structure of this formula in the dataset   0.00 eV per formula unit

---

First-principles (PBE) data for a geometry-optimized LiTmMg2Au4 structure, as listed in OQMD via LeMat-Bulk.

abc: 4.7475 4.7475 6.6640
angles: 90.00 90.00 90.00
Fractional positions:
Au 0.5000 0.0000 0.2334
Au 0.5000 0.0000 0.7666
Au 0.0000 0.5000 0.2334
Au 0.0000 0.5000 0.7666
Tm 0.0000 0.0000 0.5000
Mg 0.5000 0.5000 0.5000
Mg 0.0000 0.0000 0.0000
Li 0.5000 0.5000 0.0000

Computed properties:
Uncorrected energy   -3.49 eV per atom

---

First-principles (PBE) data for a geometry-optimized LaNdBr6 structure, as listed in OQMD via LeMat-Bulk.

abc: 8.0175 8.0175 4.4418
angles: 90.00 90.00 120.00
Fractional positions:
Br 0.3674 0.9448 0.0000
Br 0.9672 0.7180 0.5000
Br 0.5774 0.6326 0.0000
Br 0.2820 0.2492 0.5000
Br 0.7508 0.0328 0.5000
Br 0.0552 0.4226 0.0000
La 0.0000 0.0000 0.0000
Nd 0.3333 0.6667 0.5000

Computed properties:
Uncorrected energy   -4.40 eV per atom

---

First-principles (PBE) data for a geometry-optimized HfFe2Os structure, as listed in OQMD via LeMat-Bulk.

abc: 4.3581 4.3581 4.3581
angles: 60.00 60.00 60.00
Each line ends with the local moment (μB).
Fractional positions:
Hf 0.5000 0.5000 0.5000  -0.20
Os 0.7500 0.7500 0.7500  0.54
Fe 0.2500 0.2500 0.2500  1.98
Fe 0.0000 0.0000 0.0000  2.79

Computed properties:
Calculated formation energy   -0.069 eV per atom

---

First-principles (PBE) data for a geometry-optimized Er3In3NiPt2 structure, as listed in OQMD via LeMat-Bulk.

abc: 7.6476 7.6476 3.7285
angles: 90.00 90.00 120.00
Fractional positions:
Pt 0.3333 0.6667 0.5000
Pt 0.6667 0.3333 0.5000
Ni 0.0000 0.0000 0.0000
Er 0.5907 0.0000 0.0000
Er 0.4093 0.4093 0.0000
Er 0.0000 0.5907 0.0000
In 0.0000 0.2495 0.5000
In 0.7505 0.7505 0.5000
In 0.2495 0.0000 0.5000

Computed properties:
Uncorrected energy   -5.27 eV per atom

---

First-principles (PBE) data for a geometry-optimized SnGe3Pd4 structure, as listed in OQMD via LeMat-Bulk.

abc: 5.9272 3.7182 6.3429
angles: 90.00 90.23 90.00
Fractional positions:
Sn 0.6857 0.5000 0.5880
Ge 0.3090 0.0000 0.4083
Ge 0.1852 0.5000 0.9168
Ge 0.8105 0.0000 0.0835
Pd 0.0107 0.0000 0.6918
Pd 0.5026 0.5000 0.1874
Pd 0.0124 0.5000 0.2974
Pd 0.4839 0.0000 0.8268

Computed properties:
Uncorrected energy   -5.29 eV per atom

---

First-principles (PBE) data for a geometry-optimized TbSbNO structure, as listed in OQMD via LeMat-Bulk.

abc: 5.7716 8.1147 5.5797
angles: 90.00 90.00 90.00
Fractional positions:
N 0.6100 0.8951 0.5808
N 0.1100 0.1049 0.5808
N 0.8900 0.8951 0.0808
N 0.3900 0.1049 0.0808
Tb 0.5098 0.3716 0.9550
Tb 0.9902 0.3716 0.4550
Tb 0.0098 0.6284 0.9550
Tb 0.4902 0.6284 0.4550
Sb 0.0152 0.8736 0.4602
Sb 0.9848 0.1264 0.9602
Sb 0.4848 0.8736 0.9602
Sb 0.5152 0.1264 0.4602
O 0.2525 0.4887 0.7063
O 0.7525 0.5113 0.7063
O 0.2475 0.4887 0.2063
O 0.7475 0.5113 0.2063

Computed properties:
Excess energy over the best structure of this formula in the dataset   0.00 eV per formula unit

---

First-principles (PBE) data for a geometry-optimized TmZnSn structure, as listed in OQMD via LeMat-Bulk.

abc: 4.4766 4.4766 15.6006
angles: 90.00 90.00 120.00
Fractional positions:
Zn 0.6667 0.3333 0.1618
Zn 0.3333 0.6667 0.6618
Zn 0.3333 0.6667 0.8382
Zn 0.6667 0.3333 0.3382
Tm 0.0000 0.0000 0.0000
Tm 0.0000 0.0000 0.7500
Tm 0.0000 0.0000 0.2500
Tm 0.0000 0.0000 0.5000
Sn 0.6667 0.3333 0.8879
Sn 0.3333 0.6667 0.3879
Sn 0.3333 0.6667 0.1121
Sn 0.6667 0.3333 0.6121

Computed properties:
Uncorrected energy   -3.78 eV per atom